# Mg2CoAgC

A relaxed structure of Mg2CoAgC (PBE, the Alexandria database).

Density of states at the Fermi level in states/eV/cell: 2.28
ΔH_f (0 K) in eV/f.u.: 0.28
Energy in eV per atom: -4.418

Cell lengths 4.4799, 4.4799, 3.6257 Å; angles 90.00, 90.00, 90.00 degrees
With the nearest neighbours (Å) after each atom.
Positions (direct):
Mg 0.0000 0.5000 0.0000  2 C 2.24
Mg 0.5000 0.0000 0.0000  2 C 2.24
Co 0.0000 0.0000 0.5000  2 C 1.81
Ag 0.5000 0.5000 0.5000  8 Mg 2.88, 4 Co 3.17
C 0.0000 0.0000 0.0000  2 Co 1.81